Entry 1:
First-principles (PBE) data for a relaxed structure of TmSiB, as listed in Alexandria via LeMat-Bulk.

Computed properties:
N(E_F): 0.30 states/eV/f.u.
theoretical density: 7.95 Mg/m³
E above lowest polymorph: 79 meV/atom
M_tot: 0.00 μB/f.u.

Structure (CIF):
```
data_TmSiB
_space_group_name_H-M_alt 'I -4 m 2'
_space_group_IT_number 119
_space_group_name_Hall 'I -4 -2'
_cell_length_a 3.722
_cell_length_b 3.722
_cell_length_c 12.533
_cell_angle_alpha 90.00
_cell_angle_beta 90.00
_cell_angle_gamma 90.00
loop_
_atom_site_label
_atom_site_fract_x
_atom_site_fract_y
_atom_site_fract_z
Tm1 0.000 0.000 0.000
Tm2 0.000 0.500 0.250
Si1 0.000 0.500 0.658
B1 0.000 0.000 0.429
```

Entry 2:
First-principles (PBE) data for a relaxed structure of HoEr5Tm8, as listed in Alexandria via LeMat-Bulk.

Computed properties:
N(E_F): 20.45 states/eV/f.u.
theoretical density: 8.90 Mg/m³
M_tot: 0.00 μB/f.u.
formation energy: 259 meV per atom

Structure (CIF):
```
data_HoEr5Tm8
_space_group_name_H-M_alt 'I -4'
_space_group_IT_number 82
_cell_length_a 9.411
_cell_length_b 9.411
_cell_length_c 9.908
_cell_angle_alpha 90.00
_cell_angle_beta 90.00
_cell_angle_gamma 90.00
loop_
_space_group_symop_operation_xyz
'x,y,z'
'y,-x,-z'
'-x,-y,z'
'-y,x,-z'
'x+1/2,y+1/2,z+1/2'
'y+1/2,-x+1/2,-z+1/2'
'-x+1/2,-y+1/2,z+1/2'
'-y+1/2,x+1/2,-z+1/2'
loop_
_atom_site_label
_atom_site_fract_x
_atom_site_fract_y
_atom_site_fract_z
Ho1 0.000 0.000 0.000
Er1 0.000 0.500 0.750
Er2 0.112 0.289 0.327
Tm1 0.071 0.176 0.656
Tm2 0.090 0.329 0.998
```